{"formula": "Ir4Au", "functional": "PBE-GGA", "state": "relaxed", "lattice_angstrom": [[-4.710, -4.854, -0.149], [-6.293, -0.626, 2.402], [4.561, 3.720, -3.335]], "species": ["Ir", "Ir", "Ir", "Ir", "Au"], "frac_coords": [[0.750, 0.250, 0.500], [0.399, 0.399, 0.000], [0.601, 0.601, 0.000], [0.250, 0.750, 0.500], [0.000, 0.000, 0.000]], "dos_at_fermi_per_ev_atom": 0.9251, "volume_a3_per_atom": 16.8, "delta_e_f_ev_per_atom": 0.4760, "de_polymorph_mev_per_atom": 217}